# GGA-PBE CrRhSe2, optimized geometry
data_CrRhSe2
_space_group_name_H-M_alt 'P 1'
_space_group_IT_number 1
_space_group_name_Hall 'P 1'
_cell_length_a 3.745
_cell_length_b 3.745
_cell_length_c 9.456
_cell_angle_alpha 90.00
_cell_angle_beta 90.00
_cell_angle_gamma 90.00
loop_
_atom_site_label
_atom_site_type_symbol
_atom_site_fract_x
_atom_site_fract_y
_atom_site_fract_z
Cr1 Cr 0.000 0.000 0.000
Cr2 Cr 0.500 0.500 0.500
Rh1 Rh 0.000 0.500 0.750
Rh2 Rh 0.500 0.000 0.250
Se1 Se 0.000 0.000 0.500
Se2 Se 0.000 0.500 0.250
Se3 Se 0.500 0.000 0.750
Se4 Se 0.500 0.500 0.000
# relative energy among the computed polymorphs = 454 meV/atom
# D(E_F) = 0.989 states/eV/atom
# energy relative to the elements, uncorrected = 130 meV per atom
# total energy = -23.42 eV per formula unit

=====

# GGA-PBE CaCdReO6, optimized geometry
data_CaCdReO6
_space_group_name_H-M_alt 'P 1'
_space_group_IT_number 1
_space_group_name_Hall 'P 1'
_cell_length_a 4.690
_cell_length_b 5.569
_cell_length_c 5.607
_cell_angle_alpha 60.22
_cell_angle_beta 89.05
_cell_angle_gamma 88.11
loop_
_atom_site_label
_atom_site_type_symbol
_atom_site_fract_x
_atom_site_fract_y
_atom_site_fract_z
Ca1 Ca 0.000 0.000 0.000
Cd1 Cd 0.501 0.675 0.651
Re1 Re 0.001 0.324 0.352
O1 O 0.203 0.605 0.015
O2 O 0.227 0.049 0.329
O3 O 0.239 0.339 0.597
O4 O 0.763 0.064 0.596
O5 O 0.775 0.622 0.330
O6 O 0.799 0.380 0.015
# energy relative to the elements, uncorrected = -1596 meV per atom
# total energy = -59.48 eV per formula unit

=====

# GGA-PBE Sm6Bi3Os, optimized geometry
data_Sm6Bi3Os
_space_group_name_H-M_alt 'P 1'
_space_group_IT_number 1
_space_group_name_Hall 'P 1'
_cell_length_a 6.601
_cell_length_b 8.654
_cell_length_c 12.941
_cell_angle_alpha 90.00
_cell_angle_beta 119.77
_cell_angle_gamma 90.00
loop_
_atom_site_label
_atom_site_type_symbol
_atom_site_fract_x
_atom_site_fract_y
_atom_site_fract_z
Sm1 Sm 0.059 0.200 0.441
Sm2 Sm 0.059 0.300 0.941
Sm3 Sm 0.296 0.655 0.434
Sm4 Sm 0.296 0.845 0.934
Sm5 Sm 0.366 0.039 0.230
Sm6 Sm 0.366 0.461 0.730
Sm7 Sm 0.634 0.539 0.270
Sm8 Sm 0.634 0.961 0.770
Sm9 Sm 0.704 0.155 0.066
Sm10 Sm 0.704 0.345 0.566
Sm11 Sm 0.941 0.700 0.059
Sm12 Sm 0.941 0.800 0.559
Bi1 Bi 0.155 0.117 0.738
Bi2 Bi 0.155 0.383 0.238
Bi3 Bi 0.500 0.000 0.500
Bi4 Bi 0.500 0.500 0.000
Bi5 Bi 0.845 0.617 0.762
Bi6 Bi 0.845 0.883 0.262
Os1 Os 0.000 0.000 0.000
Os2 Os 0.000 0.500 0.500
# D(E_F) = 0.751 states/eV/atom
# total energy = -56.33 eV per formula unit
# DFT formation energy = -0.515 eV/atom